1.
# SCAN ScZnSi2, PBEsol geometry
# - total DFT energy (no corrections) (eV per cell) = -48.3
# - uncorrected formation energy (eV/f.u.) = -0.5
data_ScZnSi2
_cell_length_a 3.3370
_cell_length_b 3.3370
_cell_length_c 5.7640
_cell_angle_alpha 90.00
_cell_angle_beta 90.00
_cell_angle_gamma 90.00
_space_group_name_H-M_alt 'P 1'
_space_group_IT_number 1
loop_
_space_group_symop_operation_xyz
'x,y,z'
loop_
_atom_site_label
_atom_site_fract_x
_atom_site_fract_y
_atom_site_fract_z
Sc1 0.0000 0.0000 0.0000
Zn1 0.0000 0.0000 0.5000
Si1 0.5000 0.5000 0.2865
Si2 0.5000 0.5000 0.7135

2.
# SCAN TaBeAs2, PBEsol geometry
# - formation enthalpy at 0 K (eV/atom) = 0.00
# - total DFT energy (no corrections) (eV per cell) = -111.3
data_TaBeAs2
_cell_length_a 4.7385
_cell_length_b 4.7385
_cell_length_c 4.7385
_cell_angle_alpha 138.99
_cell_angle_beta 121.40
_cell_angle_gamma 74.01
_space_group_name_H-M_alt 'P 1'
_space_group_IT_number 1
loop_
_space_group_symop_operation_xyz
'x,y,z'
loop_
_atom_site_label
_atom_site_fract_x
_atom_site_fract_y
_atom_site_fract_z
Ta1 0.0000 0.0000 0.0000
Be1 0.5000 0.5000 0.0000
As1 0.2870 0.7870 0.5000
As2 0.7130 0.2130 0.5000